# AlMo2S

A geometry-optimized AlMo2S structure (PBE-GGA, Alexandria via LeMat-Bulk).

The space group is I-42d (No. 122) and the conventional cell measures 3.786, 3.786 and 18.089 Å, with angles of 90.00, 90.00 and 90.00 degrees. Symmetry generates all atoms from Al at (0.000, 0.000, 0.000), Mo at (0.231, 0.250, 0.625) and S at (0.000, 0.000, 0.500).

The calculation puts the total energy at -7.122 eV/atom. For the uncorrected formation energy, the calculation gives 261 meV per atom.

# Ba6NiAgAu2

A geometry-optimized Ba6NiAgAu2 structure (PBE-GGA, Alexandria via LeMat-Bulk).

The space group is P1 (No. 1) and the conventional cell measures 8.160, 8.161 and 8.970 Å, with angles of 62.97, 62.99 and 60.06 degrees. Symmetry generates all atoms from Ba at (0.000, 0.000, 0.000), Ba at (0.152, 0.526, 0.479), Ba at (0.306, 0.321, 0.000), Ba at (0.470, 0.845, 0.479), Ba at (0.627, 0.694, 0.000), Ba at (0.833, 0.163, 0.479), Ni at (0.230, 0.924, 0.244), Ag at (0.731, 0.424, 0.741), Au at (0.404, 0.098, 0.720) and Au at (0.896, 0.590, 0.243).

The calculation puts the total energy at -2.985 eV/atom.

# Sc4SnRh2

A geometry-optimized Sc4SnRh2 structure (PBE-GGA, Alexandria via LeMat-Bulk).

The space group is Cmcm (No. 63) and the conventional cell measures 4.774, 8.273 and 14.138 Å, with angles of 90.00, 90.00 and 90.00 degrees. Symmetry generates all atoms from Sc at (0.000, 0.000, 0.000), Sc at (0.000, 0.333, 0.125), Sc at (0.000, 0.334, 0.750), Sn at (0.000, 0.001, 0.750) and Rh at (0.000, 0.333, 0.559).

The calculation puts the total energy at -7.003 eV/atom.

| no. | magnetization (μB/atom) |
| --- | --- |
| 1 | 0.000 |
| 2 | 0.000 |
| 3 | 0.000 |